Record 1
NaAsWBr2 | PBE | relaxed

Cell: 5.4306 5.4306 4.8502 Å, 90.00 90.00 90.00°
Element x y z (fractional)
1 Na 0.0000 0.0000 0.0000
2 As 0.5000 0.5000 0.0000
3 W 0.5000 0.5000 0.5000
4 Br 0.0000 0.5000 0.5000
5 Br 0.5000 0.0000 0.5000

Results
polymorph energy (0 for the lowest one): 0 meV per atom
symmetry: P4/mmm (123)
uncorrected formation energy: -8 meV/atom

***

Record 2
BaTiBe2 | PBE | relaxed

Cell: 9.5258 9.5258 9.5258 Å, 151.91 151.91 40.15°
Element x y z (fractional)
1 Ba 0.3750 0.6250 0.7500
2 Ba 0.6250 0.3750 0.2500
3 Ti 0.1250 0.8750 0.2500
4 Ti 0.8750 0.1250 0.7500
5 Be 0.0000 0.0000 0.0000
6 Be 0.0000 0.0000 0.5000
7 Be 0.0000 0.5000 0.0000
8 Be 0.5000 0.0000 0.5000

Results
polymorph energy (0 for the lowest one): 0 meV per atom
symmetry: I4_1/amd (141)
formation energy from the elements: 0.826 eV/atom

***

Record 3
CrReTc2 | PBE | relaxed

Cell: 2.9769 2.9769 6.3453 Å, 90.00 90.00 90.00°
Element x y z (fractional)
1 Cr 0.0000 0.0000 0.0000
2 Re 0.0000 0.0000 0.5000
3 Tc 0.5000 0.5000 0.2291
4 Tc 0.5000 0.5000 0.7709

Results
symmetry: P4/mmm (123)
formation energy from the elements: 0.138 eV/atom

***

Record 4
Re2OsAu | PBE | relaxed

Cell: 4.8796 4.8796 4.8015 Å, 99.94 99.94 33.42°
Element x y z (fractional)
1 Re 0.2410 0.2410 0.2302
2 Re 0.7590 0.7590 0.7698
3 Os 0.5000 0.5000 0.0000
4 Au 0.0000 0.0000 0.5000

Results
polymorph energy (0 for the lowest one): 117 meV per atom
symmetry: C2/m (12)
formation energy from the elements: 0.369 eV/atom

***

Record 5
Tm2BiPb | PBE | relaxed

Cell: 8.1009 8.1009 8.1009 Å, 30.55 30.55 30.55°
Element x y z (fractional)
1 Tm 0.2482 0.2482 0.2482
2 Tm 0.7518 0.7518 0.7518
3 Bi 0.5000 0.5000 0.5000
4 Pb 0.0000 0.0000 0.0000

Results
polymorph energy (0 for the lowest one): 51 meV per atom
symmetry: R-3m (166)
formation energy from the elements: -0.535 eV/atom

***

Record 6
Ba2CaCd4 | PBE | relaxed

Cell: 11.5648 11.5648 11.5648 Å, 26.56 26.56 26.56°
Element x y z (fractional)
1 Ba 0.2484 0.2484 0.2484
2 Ba 0.7516 0.7516 0.7516
3 Ca 0.0000 0.0000 0.0000
4 Cd 0.1449 0.1449 0.1449
5 Cd 0.3520 0.3520 0.3520
6 Cd 0.6480 0.6480 0.6480
7 Cd 0.8551 0.8551 0.8551

Results
symmetry: R-3m (166)
formation energy from the elements: -0.169 eV/atom

***

Record 7
Tb2NdTmMg | PBE | relaxed

Cell: 6.1702 5.6077 9.3753 Å, 90.00 108.84 90.00°
Element x y z (fractional)
1 Tb 0.0495 0.2500 0.3008
2 Tb 0.1232 0.7500 0.1058
3 Tb 0.8768 0.2500 0.8942
4 Tb 0.9505 0.7500 0.6992
5 Nd 0.4627 0.2500 0.1129
6 Nd 0.5373 0.7500 0.8871
7 Tm 0.3407 0.7500 0.5006
8 Tm 0.6593 0.2500 0.4994
9 Mg 0.2688 0.2500 0.6918
10 Mg 0.7312 0.7500 0.3082

Results
symmetry: P2_1/m (11)
formation energy from the elements: 0.017 eV/atom

***

Record 8
KSm2Te3 | PBE | relaxed

Cell: 4.4982 4.4982 11.9661 Å, 90.00 90.00 120.00°
Element x y z (fractional)
1 K 0.0000 0.0000 0.0000
2 Sm 0.3333 0.6667 0.6532
3 Sm 0.6667 0.3333 0.3468
4 Te 0.0000 0.0000 0.5000
5 Te 0.3333 0.6667 0.1992
6 Te 0.6667 0.3333 0.8008

Results
symmetry: P-3m1 (164)
uncorrected formation energy: -1406 meV/atom

***

Record 9
K2TiAs2 | PBE | relaxed

Cell: 8.3232 8.3232 8.3232 Å, 128.22 71.97 133.69°
Element x y z (fractional)
1 K 0.1511 0.1529 0.3040
2 K 0.3489 0.6529 0.0018
3 K 0.6511 0.3471 0.9982
4 K 0.8489 0.8471 0.6960
5 Ti 0.2500 0.7500 0.5000
6 Ti 0.7500 0.2500 0.5000
7 As 0.0982 0.6826 0.7808
8 As 0.4018 0.1826 0.5844
9 As 0.5982 0.8174 0.4156
10 As 0.9018 0.3174 0.2192

Results
polymorph energy (0 for the lowest one): 0 meV per atom
symmetry: Ibam (72)
formation energy from the elements: -0.653 eV/atom

***

Record 10
Bi2CSe2 | PBE | relaxed

Cell: 5.7763 5.7763 5.7763 Å, 109.03 109.03 110.35°
Element x y z (fractional)
1 Bi 0.2500 0.7500 0.5000
2 Bi 0.7500 0.2500 0.5000
3 C 0.0000 0.0000 0.0000
4 Se 0.2587 0.2587 0.0000
5 Se 0.7413 0.7413 0.0000

Results
polymorph energy (0 for the lowest one): 65 meV per atom
symmetry: I4/mmm (139)
uncorrected formation energy: 842 meV/atom

***

Record 11
NaAc2Pd9 | PBE | relaxed

Cell: 9.5939 9.5939 9.5939 Å, 33.56 33.56 33.56°
Element x y z (fractional)
1 Na 0.0000 0.0000 0.0000
2 Ac 0.1337 0.1337 0.1337
3 Ac 0.8663 0.8663 0.8663
4 Pd 0.0805 0.5847 0.5847
5 Pd 0.3330 0.3330 0.3330
6 Pd 0.4153 0.4153 0.9195
7 Pd 0.4153 0.9195 0.4153
8 Pd 0.5000 0.5000 0.5000
9 Pd 0.5847 0.0805 0.5847
10 Pd 0.5847 0.5847 0.0805
11 Pd 0.6670 0.6670 0.6670
12 Pd 0.9195 0.4153 0.4153

Results
symmetry: R-3m (166)
formation energy from the elements: -0.490 eV/atom

***

Record 12
Zr2HgPd | PBE | relaxed

Cell: 7.3226 7.3226 7.3226 Å, 31.00 31.00 31.00°
Element x y z (fractional)
1 Zr 0.0000 0.0000 0.0000
2 Zr 0.1926 0.1926 0.1926
3 Hg 0.4301 0.4301 0.4301
4 Pd 0.5930 0.5930 0.5930

Results
symmetry: R3m (160)
formation energy from the elements: -0.072 eV/atom